Below is a relaxed structure of LiZr2Re, with properties calculated at the PBE-GGA level.

```
16
Lattice="-4.9485 1.0901 -4.8004 -5.5540 -0.1749 5.6856 0.4979 5.0918 0.6430" Properties=species:S:1:pos:R:3 pbc="T T T"
Li -8.5797 2.1410 0.0221
Li -3.3284 1.6845 -0.4204
Li -6.6762 4.3225 1.9486
Li -1.4249 3.8660 1.5062
Re -5.0999 0.7739 -2.1790
Re -5.4025 0.1413 3.0642
Re -5.1538 2.6868 3.3855
Re -4.8508 3.3202 -1.8573
Zr -5.8971 1.8315 0.3996
Zr -8.1288 1.7612 2.6842
Zr -0.6459 1.3741 -0.0430
Zr -2.8776 1.3038 2.2417
Zr -7.1270 4.7032 -0.7134
Zr -9.3587 4.6329 1.5712
Zr -1.8758 4.2458 -1.1560
Zr -4.1075 4.1755 1.1286
```

Magnetic moment in Bohr magnetons per cell: 0.006
Relative energy among the computed polymorphs in kcal/mol of atoms: 5.47
ρ in g/cm3: 8.719